[1]
Here is a relaxed structure of Li5Mg2TlHg2 from the Alexandria database. Energies are from PBE.

a = 9.700 Å, b = 9.700 Å, c = 4.367 Å
α = 90.00°, β = 90.00°, γ = 90.00°
Positions (direct):
Li (0.000, 0.500, 0.000)
Li (0.076, 0.200, 0.000)
Li (0.200, 0.924, 0.000)
Li (0.300, 0.424, 0.000)
Li (0.424, 0.700, 0.000)
Li (0.500, 0.000, 0.000)
Li (0.576, 0.300, 0.000)
Li (0.700, 0.576, 0.000)
Li (0.800, 0.076, 0.000)
Li (0.924, 0.800, 0.000)
Mg (0.171, 0.671, 0.500)
Mg (0.329, 0.171, 0.500)
Mg (0.671, 0.829, 0.500)
Mg (0.829, 0.329, 0.500)
Tl (0.000, 0.000, 0.500)
Tl (0.500, 0.500, 0.500)
Hg (0.126, 0.374, 0.500)
Hg (0.374, 0.874, 0.500)
Hg (0.626, 0.126, 0.500)
Hg (0.874, 0.626, 0.500)

Properties
- Formation enthalpy at 0 K: -0.208 eV per atom
- SG: P4/mbm, No. 127

[2]
Here is a relaxed structure of Be7Rh from the Alexandria database. Energies are from PBE.

a = 4.683 Å, b = 4.683 Å, c = 4.683 Å
α = 60.00°, β = 60.00°, γ = 60.00°
Positions (direct):
Be (0.000, 0.000, 0.000)
Be (0.000, 0.000, 0.500)
Be (0.000, 0.500, 0.000)
Be (0.000, 0.500, 0.500)
Be (0.500, 0.000, 0.000)
Be (0.500, 0.000, 0.500)
Be (0.500, 0.500, 0.000)
Rh (0.500, 0.500, 0.500)

Properties
- Formation enthalpy at 0 K: -0.140 eV per atom
- SG: Fm-3m, No. 225

[3]
Here is a relaxed structure of CeI3Cl from the Alexandria database. Energies are from PBE.

a = 7.801 Å, b = 7.801 Å, c = 8.604 Å
α = 121.68°, β = 121.68°, γ = 76.79°
Positions (direct):
Ce (0.231, 0.231, 0.115)
Ce (0.769, 0.769, 0.885)
I (0.046, 0.423, 0.786)
I (0.423, 0.046, 0.786)
I (0.437, 0.437, 0.639)
I (0.563, 0.563, 0.361)
I (0.577, 0.954, 0.214)
I (0.954, 0.577, 0.214)
Cl (0.059, 0.059, 0.232)
Cl (0.941, 0.941, 0.768)

Properties
- SG: C2/m, No. 12
- Offset from the most stable computed form: 9 meV per atom
- Formation energy (no corrections): -6.45 eV/f.u.

[4]
Here is a relaxed structure of Li2CaInAg from the Alexandria database. Energies are from PBE.

a = 4.971 Å, b = 4.971 Å, c = 5.221 Å
α = 90.00°, β = 90.00°, γ = 90.00°
Positions (direct):
Li (0.000, 0.500, 0.000)
Li (0.500, 0.000, 0.000)
Ca (0.000, 0.000, 0.500)
In (0.500, 0.500, 0.500)
Ag (0.500, 0.500, 0.000)

Properties
- Formation enthalpy at 0 K: -0.073 eV per atom
- SG: P4/mmm, No. 123

[5]
Here is a relaxed structure of VRu2Rh2 from the Alexandria database. Energies are from PBE.

a = 3.992 Å, b = 4.782 Å, c = 4.785 Å
α = 70.31°, β = 65.46°, γ = 65.45°
Positions (direct):
V (0.000, 0.000, 0.000)
Ru (0.499, 0.279, 0.723)
Ru (0.501, 0.721, 0.277)
Rh (0.191, 0.307, 0.309)
Rh (0.809, 0.693, 0.691)

Properties
- Formation enthalpy at 0 K: 0.131 eV per atom
- SG: P-1, No. 2

[6]
Here is a relaxed structure of AlZn2Ru2 from the Alexandria database. Energies are from PBE.

a = 6.414 Å, b = 6.414 Å, c = 3.715 Å
α = 90.00°, β = 90.00°, γ = 90.00°
Positions (direct):
Al (0.000, 0.000, 0.000)
Al (0.500, 0.500, 0.000)
Zn (0.160, 0.340, 0.500)
Zn (0.340, 0.840, 0.500)
Zn (0.660, 0.160, 0.500)
Zn (0.840, 0.660, 0.500)
Ru (0.141, 0.641, 0.000)
Ru (0.359, 0.141, 0.000)
Ru (0.641, 0.859, 0.000)
Ru (0.859, 0.359, 0.000)

Properties
- Formation enthalpy at 0 K: -0.075 eV per atom
- SG: P4/mbm, No. 127

| no. | magnetic moment (μB/cell) |
| --- | --- |
| 1 | 0.0 |
| 2 | 0.0 |
| 3 | 0.2 |
| 4 | 0.0 |
| 5 | 0.0 |
| 6 | 1.3 |